Record 1
Here is a relaxed CeCd3In3 crystal from Alexandria. Energies are from PBE-GGA. Values from VASP.

Output
Volume, Å³ per cell: 479.6
D(E_F), states/eV per cell: 26.071
Formation energy from the elements, eV per atom: 0.367
Uncorrected energy, eV per atom: -2.047
ρ, g/cm3: 5.7

```
&SYSTEM
  ibrav = 0, nat = 14, ntyp = 3
/
ATOMIC_SPECIES
Ce 140.12 Ce.upf
Cd 112.41 Cd.upf
In 114.82 In.upf
CELL_PARAMETERS angstrom
7.828 0.000 0.000
0.000 7.828 0.000
0.000 0.000 7.828
ATOMIC_POSITIONS crystal
Ce 0.000 0.000 0.000
Ce 0.500 0.500 0.500
Cd 0.000 0.250 0.500
Cd 0.000 0.750 0.500
Cd 0.250 0.500 0.000
Cd 0.500 0.000 0.250
Cd 0.500 0.000 0.750
Cd 0.750 0.500 0.000
In 0.000 0.500 0.250
In 0.000 0.500 0.750
In 0.250 0.000 0.500
In 0.500 0.250 0.000
In 0.500 0.750 0.000
In 0.750 0.000 0.500
```


Record 2
Here is a relaxed Ce8CdIn3 crystal from Alexandria. Energies are from PBE-GGA. Values from VASP.

Output
Volume, Å³ per cell: 317.2
D(E_F), states/eV per cell: 32.211
Formation energy from the elements, eV per atom: -0.157
Uncorrected energy, eV per atom: -4.873
ρ, g/cm3: 8.3

```
&SYSTEM
  ibrav = 0, nat = 12, ntyp = 3
/
ATOMIC_SPECIES
Ce 140.12 Ce.upf
Cd 112.41 Cd.upf
In 114.82 In.upf
CELL_PARAMETERS angstrom
5.773 -5.283 0.000
5.773 5.283 0.000
-2.517 0.000 5.200
ATOMIC_POSITIONS crystal
Ce 0.000 0.000 0.000
Ce 0.136 0.629 0.762
Ce 0.143 0.143 0.709
Ce 0.278 0.774 0.474
Ce 0.503 0.503 0.000
Ce 0.629 0.136 0.762
Ce 0.647 0.647 0.715
Ce 0.774 0.278 0.474
Cd 0.327 0.327 0.362
In 0.448 0.953 0.110
In 0.828 0.828 0.368
In 0.953 0.448 0.110
```


Record 3
Here is a relaxed Ce3Cd4In2 crystal from Alexandria. Energies are from PBE-GGA. Values from VASP.

Output
Relative energy among the computed polymorphs, meV per atom: 24.2
Volume, Å³ per cell: 238.2
D(E_F), states/eV per cell: 21.328
Formation energy from the elements, eV per atom: -0.279
Uncorrected energy, eV per atom: -3.272
ρ, g/cm3: 7.7

```
&SYSTEM
  ibrav = 0, nat = 9, ntyp = 3
/
ATOMIC_SPECIES
Ce 140.12 Ce.upf
Cd 112.41 Cd.upf
In 114.82 In.upf
CELL_PARAMETERS angstrom
7.612 0.000 0.000
-3.806 6.592 0.000
0.000 0.000 4.747
ATOMIC_POSITIONS crystal
Ce 0.000 0.572 0.000
Ce 0.428 0.428 0.000
Ce 0.572 0.000 0.000
Cd 0.000 0.000 0.000
Cd 0.000 0.240 0.500
Cd 0.240 0.000 0.500
Cd 0.760 0.760 0.500
In 0.333 0.667 0.500
In 0.667 0.333 0.500
```


Record 4
Here is a relaxed Ce15CdIn4 crystal from Alexandria. Energies are from PBE-GGA. Values from VASP.

Output
Volume, Å³ per cell: 559.9
D(E_F), states/eV per cell: 61.243
Formation energy from the elements, eV per atom: -0.158
Uncorrected energy, eV per atom: -5.202
ρ, g/cm3: 7.9

```
&SYSTEM
  ibrav = 0, nat = 20, ntyp = 3
/
ATOMIC_SPECIES
Ce 140.12 Ce.upf
Cd 112.41 Cd.upf
In 114.82 In.upf
CELL_PARAMETERS angstrom
4.825 0.000 0.000
0.000 4.825 0.000
0.000 0.000 24.050
ATOMIC_POSITIONS crystal
Ce 0.000 0.000 0.000
Ce 0.000 0.000 0.199
Ce 0.000 0.000 0.400
Ce 0.000 0.000 0.600
Ce 0.000 0.000 0.801
Ce 0.000 0.500 0.100
Ce 0.000 0.500 0.300
Ce 0.000 0.500 0.500
Ce 0.000 0.500 0.700
Ce 0.000 0.500 0.900
Ce 0.500 0.000 0.100
Ce 0.500 0.000 0.300
Ce 0.500 0.000 0.500
Ce 0.500 0.000 0.700
Ce 0.500 0.000 0.900
Cd 0.500 0.500 0.000
In 0.500 0.500 0.200
In 0.500 0.500 0.400
In 0.500 0.500 0.600
In 0.500 0.500 0.800
```